DFT (PBE-GGA) results for Li6Ag2Au3 after structural relaxation.

a = 10.050 Å, b = 10.050 Å, c = 10.050 Å
α = 152.35°, β = 152.35°, γ = 39.51°
Positions (direct):
Li 0.095 0.595 0.500
Li 0.210 0.210 0.000
Li 0.405 0.905 0.500
Li 0.595 0.095 0.500
Li 0.790 0.790 0.000
Li 0.905 0.405 0.500
Ag 0.069 0.069 0.000
Ag 0.931 0.931 0.000
Au 0.346 0.346 0.000
Au 0.500 0.500 0.000
Au 0.654 0.654 0.000

## Properties
* SG: I4/mmm (139)

DFT (PBE-GGA) results for LiAg6Au after structural relaxation.

a = 5.865 Å, b = 5.865 Å, c = 4.073 Å
α = 90.00°, β = 90.00°, γ = 90.00°
Positions (direct):
Li 0.000 0.000 0.000
Ag 0.000 0.500 0.000
Ag 0.245 0.245 0.500
Ag 0.245 0.755 0.500
Ag 0.500 0.000 0.000
Ag 0.755 0.245 0.500
Ag 0.755 0.755 0.500
Au 0.500 0.500 0.000

## Properties
* SG: P4/mmm (123)
* polymorph energy (0 for the lowest one): 0 meV per atom

DFT (PBE-GGA) results for LiAg2Au2 after structural relaxation.

a = 7.380 Å, b = 7.380 Å, c = 7.380 Å
α = 137.36°, β = 59.68°, γ = 140.29°
Positions (direct):
Li 0.250 0.250 0.000
Li 0.750 0.750 0.000
Ag 0.098 0.623 0.721
Ag 0.402 0.123 0.525
Ag 0.598 0.877 0.475
Ag 0.902 0.377 0.279
Au 0.178 0.130 0.307
Au 0.322 0.630 0.952
Au 0.678 0.370 0.048
Au 0.822 0.870 0.693

## Properties
* SG: Ibam (72)
* polymorph energy (0 for the lowest one): 76 meV per atom

DFT (PBE-GGA) results for LiAgAu after structural relaxation.

a = 5.001 Å, b = 5.001 Å, c = 5.001 Å
α = 146.87°, β = 132.13°, γ = 59.46°
Positions (direct):
Li 0.000 0.000 0.000
Ag 0.668 0.668 0.000
Au 0.343 0.343 0.000

## Properties
* SG: Imm2 (44)
* polymorph energy (0 for the lowest one): 21 meV per atom

DFT (PBE-GGA) results for Li2Ag4Au3 after structural relaxation.

a = 4.995 Å, b = 5.000 Å, c = 7.657 Å
α = 108.53°, β = 90.56°, γ = 119.37°
Positions (direct):
Li 0.055 0.290 0.170
Li 0.945 0.710 0.830
Ag 0.166 0.833 0.500
Ag 0.278 0.388 0.837
Ag 0.722 0.612 0.163
Ag 0.834 0.167 0.500
Au 0.381 0.947 0.162
Au 0.500 0.500 0.500
Au 0.619 0.053 0.838

## Properties
* SG: P-1 (2)
* polymorph energy (0 for the lowest one): 4 meV per atom

DFT (PBE-GGA) results for LiAg5Au4 after structural relaxation.

a = 7.423 Å, b = 7.423 Å, c = 9.016 Å
α = 105.34°, β = 105.34°, γ = 22.13°
Positions (direct):
Li 0.000 0.000 0.000
Ag 0.000 0.000 0.500
Ag 0.295 0.295 0.397
Ag 0.391 0.391 0.707
Ag 0.609 0.609 0.293
Ag 0.705 0.705 0.603
Au 0.191 0.191 0.082
Au 0.412 0.412 0.197
Au 0.588 0.588 0.803
Au 0.809 0.809 0.918

## Properties
* SG: C2/m (12)
* polymorph energy (0 for the lowest one): 60 meV per atom

DFT (PBE-GGA) results for LiAgAu after structural relaxation.

a = 4.406 Å, b = 2.955 Å, c = 4.747 Å
α = 90.00°, β = 98.96°, γ = 90.00°
Positions (direct):
Li 0.000 0.000 0.000
Ag 0.500 0.000 0.500
Au 0.500 0.500 0.000

## Properties
* SG: P2/m (10)
* polymorph energy (0 for the lowest one): 143 meV per atom

DFT (PBE-GGA) results for LiAg2Au2 after structural relaxation.

a = 7.349 Å, b = 7.349 Å, c = 7.349 Å
α = 149.44°, β = 149.44°, γ = 43.76°
Positions (direct):
Li 0.000 0.000 0.000
Ag 0.250 0.750 0.500
Ag 0.750 0.250 0.500
Au 0.403 0.403 0.000
Au 0.597 0.597 0.000

## Properties
* SG: I4/mmm (139)
* polymorph energy (0 for the lowest one): 106 meV per atom

We obtain formation energy values of -0.14, -0.08, -0.10, -0.30, -0.22, -0.07, -0.18, -0.07 eV per atom for the records listed above, in that order.